[1]
## NaLaAs2Pd5 (GGA-PBE)

Data for crystalline NaLaAs2Pd5 at its relaxed geometry.

a = 4.2764 Å, b = 4.2764 Å, c = 9.4265 Å
α = 90.00°, β = 90.00°, γ = 90.00°
Last column: nearest neighbours and their distance in Å.
Space group P4/mmm (No. 123)
One atom of each set of equivalent atoms:
Na (0.0000, 0.0000, 0.0000)  8 As 3.29, 8 Pd 3.34
La (0.0000, 0.0000, 0.5000)  12 Pd 3.02-3.03
As (0.5000, 0.5000, 0.1364)  4 Pd 2.49, 1 As 2.57
Pd (0.0000, 0.5000, 0.2724)  2 As 2.49
Pd (0.5000, 0.5000, 0.5000)  4 La 3.02, 8 Pd 3.03

Output
* ΔE_f: -0.6183 eV per atom
* size of the total moment: 0.000 μB per atom

***

[2]
## NaLa2As4Pd3 (GGA-PBE)

Data for crystalline NaLa2As4Pd3 at its relaxed geometry.

a = 4.4813 Å, b = 4.4813 Å, c = 10.4219 Å
α = 90.00°, β = 90.00°, γ = 90.00°
Last column: nearest neighbours and their distance in Å.
Space group P-4m2 (No. 115)
One atom of each set of equivalent atoms:
Na (0.0000, 0.0000, 0.0000)  4 As 2.72
La (0.0000, 0.5000, 0.7377)  8 As 3.34-3.39, 7 Pd 3.43-3.65, 2 Na 3.53
As (0.0000, 0.0000, 0.5000)  4 Pd 2.53
As (0.0000, 0.5000, 0.1475)  3 Pd 2.50-2.72, 2 Na 2.72
As (0.5000, 0.5000, 0.5000)  4 Pd 2.53
Pd (0.0000, 0.5000, 0.3875)  5 As 2.50-2.53
Pd (0.5000, 0.5000, 0.0000)  4 As 2.72

Output
* ΔE_f: -0.8523 eV per atom
* size of the total moment: 0.000 μB per atom

***

[3]
## NaLaAs2Pt2 (GGA-PBE)

Data for crystalline NaLaAs2Pt2 at its relaxed geometry.

a = 4.2701 Å, b = 4.2701 Å, c = 8.5876 Å
α = 90.00°, β = 90.00°, γ = 120.00°
Last column: nearest neighbours and their distance in Å.
Space group P-3m1 (No. 164)
One atom of each set of equivalent atoms:
Na (0.0000, 0.0000, 0.0000)  6 Pt 3.28, 6 As 3.30
La (0.0000, 0.0000, 0.5000)  6 As 3.24, 6 Pt 3.26
As (0.3333, 0.6667, 0.7451)  3 Pt 2.47
Pt (0.3333, 0.6667, 0.2516)  3 As 2.47

Output
* ΔE_f: -0.8591 eV per atom
* size of the total moment: 0.000 μB per atom

***

[4]
## NaLaAs2Pt4 (GGA-PBE)

Data for crystalline NaLaAs2Pt4 at its relaxed geometry.

a = 4.0581 Å, b = 4.0581 Å, c = 10.6418 Å
α = 90.00°, β = 90.00°, γ = 90.00°
Last column: nearest neighbours and their distance in Å.
Space group P4/mmm (No. 123)
One atom of each set of equivalent atoms:
Na (0.0000, 0.0000, 0.0000)  8 As 3.29, 8 Pt 3.65
La (0.0000, 0.0000, 0.5000)  8 Pt 3.06
As (0.5000, 0.5000, 0.1505)  4 Pt 2.48
Pt (0.0000, 0.5000, 0.2851)  2 As 2.48

Output
* ΔE_f: -0.5987 eV per atom
* size of the total moment: 0.000 μB per atom

***

[5]
## NaLaAsRh2 (GGA-PBE)

Data for crystalline NaLaAsRh2 at its relaxed geometry.

a = 4.7165 Å, b = 4.7165 Å, c = 4.8232 Å
α = 90.00°, β = 90.00°, γ = 90.00°
Last column: nearest neighbours and their distance in Å.
Space group P4/mmm (No. 123)
One atom of each set of equivalent atoms:
Na (0.0000, 0.0000, 0.0000)  4 Rh 2.36, 2 As 2.41
La (0.5000, 0.5000, 0.5000)  4 As 3.34, 8 Rh 3.37
As (0.0000, 0.0000, 0.5000)  2 Na 2.41
Rh (0.0000, 0.5000, 0.0000)  2 Na 2.36

Output
* ΔE_f: 0.4472 eV per atom
* size of the total moment: 0.000 μB per atom

***

[6]
## NaLa2As3Rh4 (GGA-PBE)

Data for crystalline NaLa2As3Rh4 at its relaxed geometry.

a = 4.1525 Å, b = 4.1525 Å, c = 11.1284 Å
α = 90.00°, β = 90.00°, γ = 90.00°
Last column: nearest neighbours and their distance in Å.
Space group P-4m2 (No. 115)
One atom of each set of equivalent atoms:
Na (0.0000, 0.0000, 0.0000)  4 Rh 2.72, 4 As 2.94
La (0.0000, 0.5000, 0.7505)  8 Rh 3.11-3.48, 6 As 3.24-3.47, 2 Na 3.47
As (0.0000, 0.5000, 0.3730)  5 Rh 2.40-2.51
As (0.5000, 0.5000, 0.0000)  4 Rh 2.72, 4 Na 2.94
Rh (0.0000, 0.0000, 0.5000)  4 As 2.51
Rh (0.0000, 0.5000, 0.1573)  1 As 2.40
Rh (0.5000, 0.5000, 0.5000)  4 As 2.51

Output
* ΔE_f: -0.8306 eV per atom
* size of the total moment: 0.000 μB per atom